Record 1
## Tm2ThBe (PBE)

Data for a relaxed Tm2ThBe crystal.

```
4
Lattice="3.4640 0.0000 0.0000 1.7320 2.9999 0.0000 1.7320 1.0000 11.1053" Properties=species:S:1:pos:R:3 pbc="T T T"
Tm 5.1960 2.9999 2.8141
Tm 1.7320 1.0000 8.2912
Be 0.0000 0.0000 0.0000
Th 3.4640 1.9999 5.5526
```

Properties
calculated volume	115.4	Å³/f.u.
density	8.33	g/cm³
ΔH_f (0 K)	0.6759	eV/atom

=====

Record 2
## Ac2InBi (PBE)

Data for a relaxed Ac2InBi crystal.

```
4
Lattice="-1.6039 3.7238 1.4430 -3.9845 -1.5971 -0.3072 0.4804 -2.5840 7.2019" Properties=species:S:1:pos:R:3 pbc="T T T"
In -2.7942 1.0633 0.5679
Ac 0.3583 -1.9271 5.3713
Ac 0.1221 -0.6568 1.8306
Bi -2.5540 -0.2286 4.1689
```

Properties
calculated volume	142.0	Å³/f.u.
density	9.10	g/cm³
ΔH_f (0 K)	-0.6035	eV/atom